Entry 1:
The following is a PBE calculation of a relaxed structure of CsPa2AlO8, from Alexandria via LeMat-Bulk.

The space-group type is Cmmm, No. 65. The energy relative to the elements, uncorrected is -2711 meV per atom.

Lattice parameters (Å, degrees): 4.7467 4.7456 8.2267 89.96 89.96 89.04
With the nearest neighbours (Å) after each atom.
Fractional coordinates of all 12 atoms:
Cs 0.0000 0.0000 0.5000  2 O 2.65
Pa 0.4999 0.4999 0.7925  4 O 2.01-2.21
Pa 0.5001 0.5001 0.2075  4 O 2.01-2.21
Al 0.0000 0.0000 0.0000  6 O 1.97-1.98
O 0.1998 0.7999 0.1771  1 Al 1.97, 1 Pa 2.01
O 0.7072 0.7067 0.9998  1 Al 1.98, 2 Pa 2.21
O 0.7994 0.1993 0.1771  1 Al 1.97, 1 Pa 2.01
O 0.8002 0.2001 0.8229  1 Al 1.97, 1 Pa 2.01
O 0.2928 0.2933 0.0002  1 Al 1.98, 2 Pa 2.21
O 0.2006 0.8007 0.8229  1 Al 1.97, 1 Pa 2.01
O 0.6085 0.6084 0.4999  1 O 1.47
O 0.3915 0.3916 0.5001  1 O 1.47

Entry 2:
The following is a PBE calculation of a relaxed structure of CsPmAlO4, from Alexandria via LeMat-Bulk.

The space-group type is P2_1/m, No. 11. The energy relative to the elements, uncorrected is -2461 meV per atom.

Lattice parameters (Å, degrees): 5.9833 6.0270 8.1032 90.00 107.09 90.00
With the nearest neighbours (Å) after each atom.
Fractional coordinates of all 14 atoms:
Cs 0.7083 0.7500 0.9323  2 O 2.94-3.14
Cs 0.2917 0.2500 0.0677  2 O 2.94-3.14
Pm 0.8051 0.7500 0.4558  6 O 2.31-2.45
Pm 0.1949 0.2500 0.5442  6 O 2.31-2.45
Al 0.2602 0.7500 0.3471  4 O 1.76-1.79
Al 0.7398 0.2500 0.6529  4 O 1.76-1.79
O 0.9352 0.4739 0.6601  1 Al 1.78
O 0.0648 0.9739 0.3399  1 Al 1.78
O 0.0648 0.5261 0.3399  1 Al 1.78
O 0.9352 0.0261 0.6601  1 Al 1.78
O 0.4553 0.7500 0.2209  1 Al 1.76
O 0.5447 0.2500 0.7791  1 Al 1.76
O 0.4607 0.7500 0.5607  1 Al 1.79
O 0.5393 0.2500 0.4393  1 Al 1.79

Number 1: final energy -7.982 eV/atom. Number 2: final energy -6.630 eV/atom.